# 1
## TePtSe (PBE-GGA)

Data for crystalline TePtSe at its relaxed geometry.

Unit cell a=7.378 b=7.059 c=3.443 alpha=81.41 beta=71.11 gamma=27.48
Atoms (fractional coordinates):
Te: 0.000 0.000 0.000
Pt: 0.365 0.365 0.635
Se: 0.743 0.743 0.257

Values from the calculation:
**ΔE to the lowest computed polymorph**: 516 meV per atom
**Density of states at the Fermi level**: 3.14 states/eV/f.u.
**Symmetry**: No. 42
**Total energy**: -4.091 eV per atom
**Crystal system**: orthorhombic
**Formation energy (no corrections)**: 0.4 eV/f.u.

# 2
## CrInNi2 (PBE-GGA)

Data for crystalline CrInNi2 at its relaxed geometry.

Unit cell a=3.134 b=3.134 c=5.731 alpha=90.00 beta=90.00 gamma=90.00
Atoms (fractional coordinates):
Cr: 0.000 0.000 0.000
In: 0.500 0.500 0.321
Ni: 0.000 0.000 0.579
Ni: 0.500 0.500 0.814

Values from the calculation:
**Density of states at the Fermi level**: 2.69 states/eV/f.u.
**E_form**: 0.6 eV/f.u.
**Symmetry**: No. 99
**Total energy**: -5.832 eV per atom
**Crystal system**: tetragonal

# 3
## CsRh2O4 (PBE-GGA)

Data for crystalline CsRh2O4 at its relaxed geometry.

Unit cell a=7.431 b=7.431 c=5.324 alpha=108.25 beta=108.25 gamma=25.13
Atoms (fractional coordinates):
Cs: 0.000 0.000 0.000
Rh: 0.253 0.253 0.256
Rh: 0.747 0.747 0.744
O: 0.177 0.177 0.521
O: 0.318 0.318 0.967
O: 0.682 0.682 0.033
O: 0.823 0.823 0.479

Values from the calculation:
**Density of states at the Fermi level**: 6.18 states/eV/f.u.
**Symmetry**: No. 12
**Total energy**: -5.974 eV per atom
**Crystal system**: monoclinic
**Formation energy (no corrections)**: -6.4 eV/f.u.